Record 1
Density functional theory data (PBE) for a relaxed structure of CeDy3S6.

Computed properties:
The density of states at the Fermi level comes out at 0.6599 states/eV/atom. The space-group type is P2_1/m, No. 11. The calculation puts the formation energy without anion corrections at -2.0694 eV per atom.

Geometry as POSCAR:
```
CeDy3S6
1.0
3.986 0.000 0.000
0.000 11.085 0.043
0.000 -3.663 10.743
Ce S Dy
2 12 6
Direct
0.250 0.952 0.307 Ce
0.750 0.048 0.693 Ce
0.250 0.522 0.388 S
0.250 0.082 0.905 S
0.250 0.194 0.250 S
0.750 0.117 0.463 S
0.750 0.738 0.273 S
0.250 0.883 0.537 S
0.750 0.806 0.750 S
0.750 0.396 0.060 S
0.750 0.478 0.612 S
0.750 0.918 0.095 S
0.250 0.262 0.727 S
0.250 0.604 0.940 S
0.250 0.840 0.914 Dy
0.750 0.160 0.086 Dy
0.250 0.320 0.499 Dy
0.250 0.561 0.167 Dy
0.750 0.439 0.833 Dy
0.750 0.680 0.501 Dy
```



Record 2
Density functional theory data (PBE) for a relaxed structure of Ce4Dy3S8.

Computed properties:
The density of states at the Fermi level comes out at 1.4899 states/eV/atom. The space-group type is C2/m, No. 12. The calculation puts the formation energy without anion corrections at -2.0124 eV per atom.

Geometry as POSCAR:
```
Ce4Dy3S8
1.0
-6.986 0.689 3.728
3.829 -6.955 -0.023
6.458 3.541 2.965
S Dy Ce
8 3 4
Direct
0.507 0.257 0.257 S
0.000 0.253 0.747 S
0.493 0.743 0.743 S
0.500 0.746 0.254 S
0.008 0.257 0.257 S
0.500 0.254 0.746 S
0.000 0.747 0.253 S
0.992 0.743 0.743 S
0.500 0.000 0.500 Dy
0.500 0.500 0.500 Dy
0.500 0.500 0.000 Dy
0.000 0.000 0.000 Ce
0.000 0.000 0.500 Ce
0.500 0.000 0.000 Ce
0.000 0.500 0.000 Ce
```



Record 3
Density functional theory data (PBE) for a relaxed structure of CeDy2S.

Computed properties:
The density of states at the Fermi level comes out at 1.8088 states/eV/atom. The space-group type is R-3m, No. 166. The calculation puts the formation energy without anion corrections at -0.6920 eV per atom.

Geometry as POSCAR:
```
CeDy2S
1.0
-0.444 -3.478 -0.824
1.190 -2.550 2.248
-8.673 -1.994 5.216
Dy S Ce
2 1 1
Direct
0.111 0.111 0.666 Dy
0.889 0.889 0.334 Dy
0.500 0.500 0.500 S
0.000 0.000 0.000 Ce
```



Record 4
Density functional theory data (PBE) for a relaxed structure of Ce2Dy3S8.

Computed properties:
The offset from the most stable computed form comes out at 0.0000 eV per atom. The density of states at the Fermi level comes out at 0.7555 states/eV/atom. The space-group type is C2/m, No. 12. The calculation puts the formation energy without anion corrections at -1.9518 eV per atom.

Geometry as POSCAR:
```
Ce2Dy3S8
1.0
-1.137 2.090 6.230
-2.397 -7.275 2.003
7.822 1.298 -1.574
Dy Ce S
3 2 8
Direct
0.000 0.261 0.000 Dy
0.500 0.000 0.000 Dy
0.000 0.739 0.000 Dy
0.334 0.264 0.528 Ce
0.666 0.736 0.472 Ce
0.075 0.885 0.770 S
0.413 0.354 0.250 S
0.413 0.896 0.250 S
0.896 0.610 0.221 S
0.587 0.646 0.750 S
0.587 0.104 0.750 S
0.925 0.115 0.230 S
0.104 0.390 0.779 S
```



Record 5
Density functional theory data (PBE) for a relaxed structure of CeDy3S4.

Computed properties:
The offset from the most stable computed form comes out at 0.0000 eV per atom. The density of states at the Fermi level comes out at 0.9146 states/eV/atom. The space-group type is Cmmm, No. 65. The calculation puts the formation energy without anion corrections at -2.0109 eV per atom.

Geometry as POSCAR:
```
CeDy3S4
1.0
3.916 0.000 0.000
0.000 6.461 -2.202
0.000 -0.053 6.825
S Dy Ce
4 3 1
Direct
0.500 0.253 0.747 S
0.500 0.747 0.253 S
0.000 0.257 0.257 S
0.000 0.743 0.743 S
0.000 0.500 0.000 Dy
0.000 0.000 0.500 Dy
0.500 0.500 0.500 Dy
0.500 0.000 0.000 Ce
```



Record 6
Density functional theory data (PBE) for a relaxed structure of CeDyS4.

Computed properties:
The offset from the most stable computed form comes out at 0.1461 eV per atom. The density of states at the Fermi level comes out at 0.6023 states/eV/atom. The space-group type is P4/mmm, No. 123. The calculation puts the formation energy without anion corrections at -1.4470 eV per atom.

Geometry as POSCAR:
```
CeDyS4
1.0
-2.520 2.952 2.083
1.811 -1.165 3.843
5.103 4.987 -0.893
S Dy Ce
4 1 1
Direct
0.000 0.500 0.750 S
0.500 0.000 0.750 S
0.000 0.500 0.250 S
0.500 0.000 0.250 S
0.000 0.000 0.000 Dy
0.000 0.000 0.500 Ce
```



Q: Among the records above, which one has the lowest formation energy without anion corrections?
A: CeDy3S6